VASP calculation (meta-GGA SCAN) on a PBEsol-optimized structure of NiMoSe.

Output
- DOS(E_F) (states/eV/cell) = 2.0
- formation energy from raw total energies (eV per formula unit) = 0.50

Unit cell a=3.0539 b=3.0539 c=8.7685 alpha=90.00 beta=90.00 gamma=90.00
Space group I4mm (No. 107)
Inequivalent atoms, fractional coordinates:
Ni 0.0000 0.0000 0.0000 [2 per cell]
Mo 0.0000 0.0000 0.3266 [2 per cell]
Se 0.0000 0.0000 0.6569 [2 per cell]

=====

VASP calculation (meta-GGA SCAN) on a PBEsol-optimized structure of AgHg5.

Output
- formation enthalpy at 0 K (eV per atom) = 0.058
- DOS(E_F) (states/eV/cell) = 3.5

Unit cell a=11.7781 b=3.0584 c=8.9087 alpha=90.00 beta=124.42 gamma=90.00
Space group Cm (No. 8)
Inequivalent atoms, fractional coordinates:
Ag 0.0000 0.0000 0.0000 [2 per cell]
Hg 0.0015 0.0000 0.5025 [2 per cell]
Hg 0.1278 0.5000 0.8545 [2 per cell]
Hg 0.1993 0.5000 0.3207 [2 per cell]
Hg 0.3028 0.0000 0.6788 [2 per cell]
Hg 0.3762 0.0000 0.1507 [2 per cell]

=====

Q: Among the records above, which one has the highest DOS(E_F)?
A: AgHg5